Entry from the Alexandria database: a geometry-optimized RbGa3Bi3 structure (GGA-PBE).

ρ: 5.9 Mg/m³
energy: -44.13 eV/cell
ΔE_f: -0.05 eV/atom
size of the total moment: 0.0 Bohr magnetons per cell

a = 8.0381 Å, b = 8.0381 Å, c = 8.0381 Å
α = 90.00°, β = 90.00°, γ = 90.00°
Last column: nearest neighbours and their distance in Å.
Sites, in units of the cell vectors:
1 Ga 0.0000 0.2500 0.5000  4 Bi 2.84
2 Ga 0.0000 0.7500 0.5000  4 Bi 2.84
3 Ga 0.5000 0.0000 0.7500  4 Bi 2.84
4 Ga 0.7500 0.5000 0.0000  4 Bi 2.84
5 Ga 0.5000 0.0000 0.2500  4 Bi 2.84
6 Ga 0.2500 0.5000 0.0000  4 Bi 2.84
7 Bi 0.2500 0.0000 0.5000  4 Ga 2.84
8 Bi 0.0000 0.5000 0.2500  4 Ga 2.84
9 Bi 0.5000 0.7500 0.0000  4 Ga 2.84
10 Bi 0.7500 0.0000 0.5000  4 Ga 2.84
11 Bi 0.0000 0.5000 0.7500  4 Ga 2.84
12 Bi 0.5000 0.2500 0.0000  4 Ga 2.84
13 Rb 0.5000 0.5000 0.5000  12 Bi 4.49, 12 Ga 4.49
14 Rb 0.0000 0.0000 0.0000  12 Bi 4.49, 12 Ga 4.49